DFT (PBE) results for an optimized crystal structure of Tm2Sc2In3.

```
7
Lattice="-0.552 0.939 4.536 -1.217 -2.967 0.466 10.101 -3.462 4.345" Properties=species:S:1:pos:R:3 pbc="T T T"
Tm 7.692 -3.898 6.541
Tm 0.640 -1.591 2.806
In 2.687 -0.288 5.185
Sc 3.486 -2.670 3.376
In 6.862 -2.234 3.697
In 0.000 0.000 0.000
Sc 4.846 -2.820 5.971
```

Output
SG: Cmmm



DFT (PBE) results for an optimized crystal structure of Tm3ScIn4.

```
8
Lattice="3.450 0.000 0.000 0.000 3.450 0.000 0.000 0.000 16.702" Properties=species:S:1:pos:R:3 pbc="T T T"
Tm 1.725 1.725 4.094
In 0.000 0.000 10.481
Tm 1.725 1.725 12.608
In 0.000 0.000 14.744
Tm 1.725 1.725 8.351
In 0.000 0.000 6.221
Sc 1.725 1.725 0.000
In 0.000 0.000 1.958
```

Output
SG: P4/mmm



DFT (PBE) results for an optimized crystal structure of Tm4Sc7In.

```
12
Lattice="5.344 0.000 0.000 2.672 11.308 -2.067 2.672 -0.669 5.597" Properties=species:S:1:pos:R:3 pbc="T T T"
Sc 8.016 9.796 0.397
In 0.000 0.000 0.000
Sc 5.344 5.405 3.383
Sc 2.672 0.842 3.132
Tm 8.016 7.417 4.069
Sc 8.016 4.060 2.689
Sc 2.672 6.578 0.841
Sc 5.344 5.233 0.147
Sc 2.672 0.000 0.000
Tm 5.344 2.413 1.714
Tm 2.672 3.222 -0.539
Tm 5.344 8.225 1.816
```

Output
SG: C2/m



DFT (PBE) results for an optimized crystal structure of TmSc5In3.

```
18
Lattice="6.362 0.000 0.000 0.000 8.813 0.000 0.000 -4.407 7.632" Properties=species:S:1:pos:R:3 pbc="T T T"
In 4.771 5.863 0.000
Sc 0.000 4.407 2.544
In 4.771 5.881 5.078
In 4.771 1.475 2.555
In 1.590 2.932 5.078
Sc 4.771 2.964 0.000
Sc 1.590 1.482 2.567
In 1.590 -1.475 2.555
Sc 1.590 5.889 5.065
Tm 3.181 0.000 0.000
Sc 3.181 0.000 5.088
Sc 4.771 -1.482 2.567
Sc 4.771 2.924 5.065
Tm 0.000 0.000 0.000
In 1.590 2.950 0.000
Sc 1.590 5.849 0.000
Sc 0.000 0.000 5.088
Sc 3.181 4.407 2.544
```

Output
SG: P6_3/mcm



no.,total magnetic moment (μB per atom),uncorrected energy (eV per formula unit)
1,0.13,-31.84
2,0.01,-34.08
3,0.00,-63.16
4,0.06,-47.67